Entry 1:
# CsCuSnTeSe2

CsCuSnTeSe2 after structural relaxation (GGA-PBE, OQMD).

Cell and atoms, written as CIF:
```
data_CsCuSnTeSe2
_space_group_name_H-M_alt 'C m c m'
_space_group_IT_number 63
_space_group_name_Hall '-C 2c 2'
_cell_length_a 3.9808
_cell_length_b 16.9089
_cell_length_c 11.4308
_cell_angle_alpha 90.00
_cell_angle_beta 90.00
_cell_angle_gamma 90.00
loop_
_atom_site_label
_atom_site_type_symbol
_atom_site_fract_x
_atom_site_fract_y
_atom_site_fract_z
Cs1 Cs 0.0000 0.2452 0.2500
Cu1 Cu 0.0000 0.4541 0.7500
Sn1 Sn 0.0000 0.0000 0.0000
Te1 Te 0.0000 0.0585 0.7500
Se1 Se 0.0000 0.3896 0.5598
```

Computed properties:
Total DFT energy (no corrections): -3.60 eV per atom



Entry 2:
# Cs2TaCuSe6

Cs2TaCuSe6 after structural relaxation (GGA-PBE, OQMD).

Cell and atoms, written as CIF:
```
data_Cs2TaCuSe6
_space_group_name_H-M_alt 'R -3 m'
_space_group_IT_number 166
_space_group_name_Hall '-R 3 2"'
_cell_length_a 7.4675
_cell_length_b 7.4675
_cell_length_c 35.3569
_cell_angle_alpha 90.00
_cell_angle_beta 90.00
_cell_angle_gamma 120.00
loop_
_atom_site_label
_atom_site_type_symbol
_atom_site_fract_x
_atom_site_fract_y
_atom_site_fract_z
Cs1 Cs 0.0000 0.0000 0.1249
Cs2 Cs 0.0000 0.0000 0.2910
Ta1 Ta 0.0000 0.0000 0.0000
Ta2 Ta 0.0000 0.0000 0.5000
Cu1 Cu 0.0000 0.0000 0.4163
Se1 Se 0.0011 0.5006 0.7068
Se2 Se 0.0138 0.5069 0.1226
```

Computed properties:
Total DFT energy (no corrections): -4.34 eV per atom



Entry 3:
# CsTaCu2Se4

CsTaCu2Se4 after structural relaxation (GGA-PBE, OQMD).

Cell and atoms, written as CIF:
```
data_CsTaCu2Se4
_space_group_name_H-M_alt 'A m a 2'
_space_group_IT_number 40
_space_group_name_Hall 'A 2 -2a'
_cell_length_a 7.9059
_cell_length_b 19.9027
_cell_length_c 5.7746
_cell_angle_alpha 90.00
_cell_angle_beta 90.00
_cell_angle_gamma 90.00
loop_
_atom_site_label
_atom_site_type_symbol
_atom_site_fract_x
_atom_site_fract_y
_atom_site_fract_z
Cs1 Cs 0.2500 0.1839 0.0000
Ta1 Ta 0.2500 0.3948 0.7458
Cu1 Cu 0.0000 0.0000 0.2592
Cu2 Cu 0.2500 0.3960 0.2449
Se1 Se 0.0005 0.1039 0.4908
Se2 Se 0.2500 0.2969 0.4972
Se3 Se 0.2500 0.4963 0.5008
```

Computed properties:
Total DFT energy (no corrections): -5.04 eV per atom



Entry 4:
# CsTaCuTe2Se

CsTaCuTe2Se after structural relaxation (GGA-PBE, OQMD).

Cell and atoms, written as CIF:
```
data_CsTaCuTe2Se
_space_group_name_H-M_alt 'C m c m'
_space_group_IT_number 63
_space_group_name_Hall '-C 2c 2'
_cell_length_a 3.9625
_cell_length_b 17.2854
_cell_length_c 10.2529
_cell_angle_alpha 90.00
_cell_angle_beta 90.00
_cell_angle_gamma 90.00
loop_
_atom_site_label
_atom_site_type_symbol
_atom_site_fract_x
_atom_site_fract_y
_atom_site_fract_z
Cs1 Cs 0.0000 0.2411 0.2500
Ta1 Ta 0.0000 0.5000 0.0000
Cu1 Cu 0.0000 0.0286 0.7500
Te1 Te 0.0000 0.1146 0.5461
Se1 Se 0.0000 0.4469 0.7500
```

Computed properties:
Total DFT energy (no corrections): -4.86 eV per atom



Entry 5:
# CsTb2CuSe4

CsTb2CuSe4 after structural relaxation (GGA-PBE, OQMD).

Cell and atoms, written as CIF:
```
data_CsTb2CuSe4
_space_group_name_H-M_alt 'C m c m'
_space_group_IT_number 63
_space_group_name_Hall '-C 2c 2'
_cell_length_a 4.1832
_cell_length_b 14.6757
_cell_length_c 14.5154
_cell_angle_alpha 90.00
_cell_angle_beta 90.00
_cell_angle_gamma 90.00
loop_
_atom_site_label
_atom_site_type_symbol
_atom_site_fract_x
_atom_site_fract_y
_atom_site_fract_z
Cs1 Cs 0.0000 0.1083 0.2500
Tb1 Tb 0.0000 0.3662 0.0623
Cu1 Cu 0.0000 0.1651 0.7500
Se1 Se 0.0000 0.0000 0.0000
Se2 Se 0.0000 0.2578 0.6068
Se3 Se 0.0000 0.4231 0.2500
```

Computed properties:
Total DFT energy (no corrections): -4.97 eV per atom



Entry 6:
# CsTb2Cu3TeSe4

CsTb2Cu3TeSe4 after structural relaxation (GGA-PBE, OQMD).

Cell and atoms, written as CIF:
```
data_CsTb2Cu3TeSe4
_space_group_name_H-M_alt 'C m c m'
_space_group_IT_number 63
_space_group_name_Hall '-C 2c 2'
_cell_length_a 4.2050
_cell_length_b 14.6972
_cell_length_c 17.8649
_cell_angle_alpha 90.00
_cell_angle_beta 90.00
_cell_angle_gamma 90.00
loop_
_atom_site_label
_atom_site_type_symbol
_atom_site_fract_x
_atom_site_fract_y
_atom_site_fract_z
Cs1 Cs 0.0000 0.0506 0.2500
Tb1 Tb 0.0000 0.1896 0.5852
Cu1 Cu 0.0000 0.3476 0.2500
Cu2 Cu 0.0000 0.4145 0.5308
Te1 Te 0.0000 0.2444 0.7500
Se1 Se 0.0000 0.1675 0.0712
Se2 Se 0.0000 0.4402 0.1084
```

Computed properties:
Total DFT energy (no corrections): -4.54 eV per atom



Entry 7:
# CsCuTcSe3

CsCuTcSe3 after structural relaxation (GGA-PBE, OQMD).

Cell and atoms, written as CIF:
```
data_CsCuTcSe3
_space_group_name_H-M_alt 'C m c m'
_space_group_IT_number 63
_space_group_name_Hall '-C 2c 2'
_cell_length_a 3.7919
_cell_length_b 16.1649
_cell_length_c 9.9400
_cell_angle_alpha 90.00
_cell_angle_beta 90.00
_cell_angle_gamma 90.00
loop_
_atom_site_label
_atom_site_type_symbol
_atom_site_fract_x
_atom_site_fract_y
_atom_site_fract_z
Cs1 Cs 0.0000 0.2505 0.2500
Cu1 Cu 0.0000 0.0340 0.7500
Tc1 Tc 0.0000 0.5000 0.0000
Se1 Se 0.0000 0.1072 0.5408
Se2 Se 0.0000 0.4412 0.7500
```

Computed properties:
Polymorph energy (0 for the lowest one): 40.8 meV per atom



Entry 8:
# CsCuTcSe3

CsCuTcSe3 after structural relaxation (GGA-PBE, OQMD).

Cell and atoms, written as CIF:
```
data_CsCuTcSe3
_space_group_name_H-M_alt 'P n m a'
_space_group_IT_number 62
_space_group_name_Hall '-P 2ac 2n'
_cell_length_a 10.4194
_cell_length_b 3.8272
_cell_length_c 15.7572
_cell_angle_alpha 90.00
_cell_angle_beta 90.00
_cell_angle_gamma 90.00
loop_
_atom_site_label
_atom_site_type_symbol
_atom_site_fract_x
_atom_site_fract_y
_atom_site_fract_z
Cs1 Cs 0.2360 0.2500 0.0079
Cu1 Cu 0.2349 0.7500 0.2210
Tc1 Tc 0.0604 0.7500 0.7626
Se1 Se 0.0300 0.7500 0.1490
Se2 Se 0.0629 0.2500 0.6536
Se3 Se 0.2220 0.2500 0.3168
```

Computed properties:
Polymorph energy (0 for the lowest one): 39.6 meV per atom



Entry 9:
# CsCuTcSe3

CsCuTcSe3 after structural relaxation (GGA-PBE, OQMD).

Cell and atoms, written as CIF:
```
data_CsCuTcSe3
_space_group_name_H-M_alt 'P 1 21/m 1'
_space_group_IT_number 11
_space_group_name_Hall '-P 2yb'
_cell_length_a 8.6210
_cell_length_b 3.8469
_cell_length_c 10.0604
_cell_angle_alpha 90.00
_cell_angle_beta 113.83
_cell_angle_gamma 90.00
loop_
_atom_site_label
_atom_site_type_symbol
_atom_site_fract_x
_atom_site_fract_y
_atom_site_fract_z
Cs1 Cs 0.0120 0.2500 0.2746
Cu1 Cu 0.4715 0.7500 0.3896
Tc1 Tc 0.4762 0.2500 0.1689
Se1 Se 0.2707 0.7500 0.1455
Se2 Se 0.3326 0.7500 0.5660
Se3 Se 0.3642 0.2500 0.8870
```

Computed properties:
Polymorph energy (0 for the lowest one): 0.0 meV per atom



Entry 10:
# CsCuTcTe2Se

CsCuTcTe2Se after structural relaxation (GGA-PBE, OQMD).

Cell and atoms, written as CIF:
```
data_CsCuTcTe2Se
_space_group_name_H-M_alt 'C m c m'
_space_group_IT_number 63
_space_group_name_Hall '-C 2c 2'
_cell_length_a 3.9513
_cell_length_b 17.2174
_cell_length_c 10.2157
_cell_angle_alpha 90.00
_cell_angle_beta 90.00
_cell_angle_gamma 90.00
loop_
_atom_site_label
_atom_site_type_symbol
_atom_site_fract_x
_atom_site_fract_y
_atom_site_fract_z
Cs1 Cs 0.0000 0.2445 0.2500
Cu1 Cu 0.0000 0.0281 0.7500
Tc1 Tc 0.0000 0.5000 0.0000
Te1 Te 0.0000 0.1099 0.5400
Se1 Se 0.0000 0.4460 0.7500
```

Computed properties:
Polymorph energy (0 for the lowest one): 65.2 meV per atom



Entry 11:
# CsCuTcTe2Se

CsCuTcTe2Se after structural relaxation (GGA-PBE, OQMD).

Cell and atoms, written as CIF:
```
data_CsCuTcTe2Se
_space_group_name_H-M_alt 'P 1 21/m 1'
_space_group_IT_number 11
_space_group_name_Hall '-P 2yb'
_cell_length_a 9.3079
_cell_length_b 3.9752
_cell_length_c 10.4251
_cell_angle_alpha 90.00
_cell_angle_beta 115.44
_cell_angle_gamma 90.00
loop_
_atom_site_label
_atom_site_type_symbol
_atom_site_fract_x
_atom_site_fract_y
_atom_site_fract_z
Cs1 Cs 0.0076 0.2500 0.2340
Cu1 Cu 0.4773 0.2500 0.9008
Tc1 Tc 0.4676 0.7500 0.6487
Te1 Te 0.2625 0.2500 0.6437
Te2 Te 0.3275 0.2500 0.0665
Se1 Se 0.3627 0.7500 0.3784
```

Computed properties:
Polymorph energy (0 for the lowest one): 0.0 meV per atom



Entry 12:
# CsTm2CuTe3Se

CsTm2CuTe3Se after structural relaxation (GGA-PBE, OQMD).

Cell and atoms, written as CIF:
```
data_CsTm2CuTe3Se
_space_group_name_H-M_alt 'C m c m'
_space_group_IT_number 63
_space_group_name_Hall '-C 2c 2'
_cell_length_a 4.3203
_cell_length_b 15.3453
_cell_length_c 15.0720
_cell_angle_alpha 90.00
_cell_angle_beta 90.00
_cell_angle_gamma 90.00
loop_
_atom_site_label
_atom_site_type_symbol
_atom_site_fract_x
_atom_site_fract_y
_atom_site_fract_z
Cs1 Cs 0.0000 0.0995 0.2500
Tm1 Tm 0.0000 0.3678 0.0721
Cu1 Cu 0.0000 0.1621 0.7500
Te1 Te 0.0000 0.0000 0.0000
Te2 Te 0.0000 0.2628 0.6080
Se1 Se 0.0000 0.4212 0.2500
```

Computed properties:
Total DFT energy (no corrections): -4.49 eV per atom



Entry 13:
# CsTm2Cu3Te4Se

CsTm2Cu3Te4Se after structural relaxation (GGA-PBE, OQMD).

Cell and atoms, written as CIF:
```
data_CsTm2Cu3Te4Se
_space_group_name_H-M_alt 'C m c m'
_space_group_IT_number 63
_space_group_name_Hall '-C 2c 2'
_cell_length_a 4.3037
_cell_length_b 15.5314
_cell_length_c 17.8972
_cell_angle_alpha 90.00
_cell_angle_beta 90.00
_cell_angle_gamma 90.00
loop_
_atom_site_label
_atom_site_type_symbol
_atom_site_fract_x
_atom_site_fract_y
_atom_site_fract_z
Cs1 Cs 0.0000 0.0678 0.2500
Tm1 Tm 0.0000 0.1938 0.5980
Cu1 Cu 0.0000 0.3394 0.2500
Cu2 Cu 0.0000 0.4173 0.5250
Te1 Te 0.0000 0.1667 0.0697
Te2 Te 0.0000 0.4419 0.1195
Se1 Se 0.0000 0.2379 0.7500
```

Computed properties:
Total DFT energy (no corrections): -4.24 eV per atom



Entry 14:
# CsTm2Cu3TeSe4

CsTm2Cu3TeSe4 after structural relaxation (GGA-PBE, OQMD).

Cell and atoms, written as CIF:
```
data_CsTm2Cu3TeSe4
_space_group_name_H-M_alt 'C m c m'
_space_group_IT_number 63
_space_group_name_Hall '-C 2c 2'
_cell_length_a 4.1630
_cell_length_b 14.6634
_cell_length_c 17.6474
_cell_angle_alpha 90.00
_cell_angle_beta 90.00
_cell_angle_gamma 90.00
loop_
_atom_site_label
_atom_site_type_symbol
_atom_site_fract_x
_atom_site_fract_y
_atom_site_fract_z
Cs1 Cs 0.0000 0.0528 0.2500
Tm1 Tm 0.0000 0.1894 0.5852
Cu1 Cu 0.0000 0.3529 0.2500
Cu2 Cu 0.0000 0.4160 0.5329
Te1 Te 0.0000 0.2422 0.7500
Se1 Se 0.0000 0.1701 0.0711
Se2 Se 0.0000 0.4381 0.1088
```

Computed properties:
Total DFT energy (no corrections): -4.49 eV per atom



Entry 15:
# CsTm2CuSe4

CsTm2CuSe4 after structural relaxation (GGA-PBE, OQMD).

Cell and atoms, written as CIF:
```
data_CsTm2CuSe4
_space_group_name_H-M_alt 'C m c m'
_space_group_IT_number 63
_space_group_name_Hall '-C 2c 2'
_cell_length_a 4.1316
_cell_length_b 14.5156
_cell_length_c 14.4050
_cell_angle_alpha 90.00
_cell_angle_beta 90.00
_cell_angle_gamma 90.00
loop_
_atom_site_label
_atom_site_type_symbol
_atom_site_fract_x
_atom_site_fract_y
_atom_site_fract_z
Cs1 Cs 0.0000 0.1094 0.2500
Tm1 Tm 0.0000 0.3666 0.0630
Cu1 Cu 0.0000 0.1662 0.7500
Se1 Se 0.0000 0.0000 0.0000
Se2 Se 0.0000 0.2570 0.6045
Se3 Se 0.0000 0.4232 0.2500
```

Computed properties:
Total DFT energy (no corrections): -4.90 eV per atom



Entry 16:
# CsTmCuSe3

CsTmCuSe3 after structural relaxation (GGA-PBE, OQMD).

Cell and atoms, written as CIF:
```
data_CsTmCuSe3
_space_group_name_H-M_alt 'P 1 21/m 1'
_space_group_IT_number 11
_space_group_name_Hall '-P 2yb'
_cell_length_a 9.6772
_cell_length_b 4.0609
_cell_length_c 10.1204
_cell_angle_alpha 90.00
_cell_angle_beta 113.25
_cell_angle_gamma 90.00
loop_
_atom_site_label
_atom_site_type_symbol
_atom_site_fract_x
_atom_site_fract_y
_atom_site_fract_z
Cs1 Cs 0.2134 0.2500 0.2466
Tm1 Tm 0.3283 0.7500 0.8575
Cu1 Cu 0.0829 0.2500 0.6054
Se1 Se 0.1261 0.2500 0.8594
Se2 Se 0.1876 0.7500 0.5448
Se3 Se 0.4749 0.7500 0.1603
```

Computed properties:
Total DFT energy (no corrections): -4.44 eV per atom



Entry 17:
# CsCuWSe3

CsCuWSe3 after structural relaxation (GGA-PBE, OQMD).

Cell and atoms, written as CIF:
```
data_CsCuWSe3
_space_group_name_H-M_alt 'C m c m'
_space_group_IT_number 63
_space_group_name_Hall '-C 2c 2'
_cell_length_a 3.9165
_cell_length_b 16.0559
_cell_length_c 9.9343
_cell_angle_alpha 90.00
_cell_angle_beta 90.00
_cell_angle_gamma 90.00
loop_
_atom_site_label
_atom_site_type_symbol
_atom_site_fract_x
_atom_site_fract_y
_atom_site_fract_z
Cs1 Cs 0.0000 0.2479 0.2500
Cu1 Cu 0.0000 0.4706 0.7500
W1 W 0.0000 0.0000 0.0000
Se1 Se 0.0000 0.0616 0.7500
Se2 Se 0.0000 0.3936 0.5436
```

Computed properties:
Total DFT energy (no corrections): -5.06 eV per atom



Entry 18:
# CsCu3WSe4

CsCu3WSe4 after structural relaxation (GGA-PBE, OQMD).

Cell and atoms, written as CIF:
```
data_CsCu3WSe4
_space_group_name_H-M_alt 'P -4 3 m'
_space_group_IT_number 215
_space_group_name_Hall 'P -4 2 3'
_cell_length_a 6.3547
_cell_length_b 6.3547
_cell_length_c 6.3547
_cell_angle_alpha 90.00
_cell_angle_beta 90.00
_cell_angle_gamma 90.00
loop_
_atom_site_label
_atom_site_type_symbol
_atom_site_fract_x
_atom_site_fract_y
_atom_site_fract_z
Cs1 Cs 0.0000 0.0000 0.0000
Cu1 Cu 0.0000 0.5000 0.5000
W1 W 0.5000 0.5000 0.5000
Se1 Se 0.2831 0.2831 0.2831
```

Computed properties:
Total DFT energy (no corrections): -4.43 eV per atom